[1]
Density functional theory data (PBE) for an optimized crystal structure of PRhO.

a b c (Å): 5.2701 5.5532 5.5533
angles (deg): 107.38 90.00 90.00
Last column: nearest neighbours and their distance in Å.
Positions (direct):
P 0.0899 0.3304 0.9196  1 O 1.62
P 0.0899 0.8304 0.4196  1 O 1.62
P 0.5899 0.1696 0.5804  1 O 1.62
P 0.5899 0.6696 0.0804  1 O 1.62
O 0.9123 0.6829 0.5670  1 P 1.62
O 0.9123 0.1829 0.0671  1 P 1.62
O 0.4123 0.8171 0.9329  1 P 1.62
O 0.4123 0.3171 0.4330  1 P 1.62
Rh 0.9997 0.2432 0.5068  3 P 2.25-2.26, 3 O 2.27-2.41
Rh 0.4997 0.7568 0.4932  3 P 2.25-2.26, 3 O 2.27-2.41
Rh 0.4997 0.2568 0.9932  3 P 2.25-2.26, 3 O 2.27-2.41
Rh 0.9997 0.7432 0.0068  3 P 2.25-2.26, 3 O 2.27-2.41

Calculated values
Space group: No. 31
Total energy in eV/cell: -84.55
Volume in Å³ per cell: 155
Magnetic moment in Bohr magnetons per cell: 0.00

=====

[2]
Density functional theory data (PBE) for an optimized crystal structure of BaLiSeCl.

a b c (Å): 4.7630 4.7630 12.5598
angles (deg): 79.07 79.07 60.00
Last column: nearest neighbours and their distance in Å.
Positions (direct):
Ba 0.6142 0.6142 0.1573  3 Cl 3.03, 3 Se 3.36
Ba 0.3858 0.3858 0.8427  3 Cl 3.03, 3 Se 3.36
Li 0.1809 0.1809 0.4573  1 Cl 2.39
Li 0.8191 0.8191 0.5427  1 Cl 2.39
Se 0.0000 0.0000 0.0000  6 Ba 3.36
Se 0.5000 0.5000 0.5000  6 Li 2.80
Cl 0.7540 0.7540 0.7379  1 Li 2.39
Cl 0.2460 0.2460 0.2621  1 Li 2.39

Calculated values
Space group: No. 166
Total energy in eV/cell: -32.98
Volume in Å³ per cell: 241
Magnetic moment in Bohr magnetons per cell: 0.04